(1)
The following is a DFT calculation (GGA-PBE) of TmNiSnIr after structural relaxation.

Summary:
As for the crystal system: cubic. Its energy of formation from the pure elements is -0.5416 eV per atom. The value obtained for the raw total energy is -25.283 eV/cell.

a = 4.6347 Å, b = 4.6347 Å, c = 4.6347 Å
α = 60.00°, β = 60.00°, γ = 60.00°
Positions (direct):
Tm1 0.0000 0.0000 0.0000
Ni1 0.7500 0.7500 0.7500
Sn1 0.5000 0.5000 0.5000
Ir1 0.2500 0.2500 0.2500

***

(2)
The following is a DFT calculation (GGA-PBE) of InCoPt2 after structural relaxation.

Summary:
As for the crystal system: monoclinic. Its energy of formation from the pure elements is -0.1342 eV per atom. The value obtained for the raw total energy is -22.463 eV/cell.

a = 4.8264 Å, b = 4.8264 Å, c = 4.8663 Å
α = 101.02°, β = 101.02°, γ = 34.76°
Positions (direct):
In1 0.0000 0.0000 0.0000
Co1 0.7477 0.7477 0.2977
Pt1 0.2466 0.2466 0.7675
Pt2 0.4890 0.4890 0.4804

***

(3)
The following is a DFT calculation (GGA-PBE) of Sm2Y2Ho3 after structural relaxation.

Summary:
As for the crystal system: triclinic. Its energy of formation from the pure elements is 0.0201 eV per atom. The value obtained for the raw total energy is -35.959 eV/cell.

a = 3.5689 Å, b = 6.1673 Å, c = 10.7087 Å
α = 95.49°, β = 90.04°, γ = 106.74°
Positions (direct):
Sm1 0.2141 0.4275 0.3565
Sm2 0.7859 0.5725 0.6435
Y1 0.0708 0.1420 0.7879
Y2 0.9292 0.8580 0.2121
Ho1 0.3566 0.7130 0.9288
Ho2 0.5000 0.0000 0.5000
Ho3 0.6434 0.2870 0.0712

***

(4)
The following is a DFT calculation (GGA-PBE) of Mo2PdRh9 after structural relaxation.

Summary:
As for the crystal system: tetragonal. Its energy of formation from the pure elements is -0.1521 eV per atom. The value obtained for the raw total energy is -94.844 eV/cell.

a = 3.8718 Å, b = 3.8718 Å, c = 11.5746 Å
α = 90.00°, β = 90.00°, γ = 90.00°
Positions (direct):
Mo1 0.0000 0.0000 0.1720
Mo2 0.0000 0.0000 0.8280
Pd1 0.0000 0.0000 0.5000
Rh1 0.0000 0.5000 0.0000
Rh2 0.0000 0.5000 0.3272
Rh3 0.0000 0.5000 0.6728
Rh4 0.5000 0.0000 0.0000
Rh5 0.5000 0.0000 0.3272
Rh6 0.5000 0.0000 0.6728
Rh7 0.5000 0.5000 0.1645
Rh8 0.5000 0.5000 0.5000
Rh9 0.5000 0.5000 0.8355

***

(5)
The following is a DFT calculation (GGA-PBE) of Tm5HgTe5 after structural relaxation.

Summary:
The calculation puts the formation energy from raw total energies at -1129.7 meV/atom. As for the crystal system: monoclinic. The value obtained for the raw total energy is -50.795 eV/cell.

a = 7.4821 Å, b = 7.4821 Å, c = 8.5231 Å
α = 106.84°, β = 106.84°, γ = 48.09°
Positions (direct):
Tm1 0.0000 0.0000 0.0000
Tm2 0.3387 0.3387 0.1647
Tm3 0.3390 0.3390 0.6723
Tm4 0.6610 0.6610 0.3277
Tm5 0.6613 0.6613 0.8353
Hg1 0.5000 0.5000 0.0000
Te1 0.1658 0.1658 0.8285
Te2 0.1725 0.1725 0.3368
Te3 0.5000 0.5000 0.5000
Te4 0.8275 0.8275 0.6632
Te5 0.8342 0.8342 0.1715

***

(6)
The following is a DFT calculation (GGA-PBE) of ErTlIn2 after structural relaxation.

Summary:
As for the crystal system: tetragonal. Its energy of formation from the pure elements is -0.1670 eV per atom. The value obtained for the raw total energy is -13.074 eV/cell.

a = 3.8079 Å, b = 3.8079 Å, c = 7.4590 Å
α = 90.00°, β = 90.00°, γ = 90.00°
Positions (direct):
Er1 0.0000 0.0000 0.0000
Tl1 0.0000 0.0000 0.5000
In1 0.5000 0.5000 0.2471
In2 0.5000 0.5000 0.7529

***

(7)
The following is a DFT calculation (GGA-PBE) of CeHoPaTl after structural relaxation.

Summary:
As for the crystal system: cubic. Its energy of formation from the pure elements is 0.1945 eV per atom. The value obtained for the raw total energy is -21.596 eV/cell.

a = 5.3557 Å, b = 5.3557 Å, c = 5.3557 Å
α = 60.00°, β = 60.00°, γ = 60.00°
Positions (direct):
Ce1 0.0000 0.0000 0.0000
Ho1 0.5000 0.5000 0.5000
Pa1 0.7500 0.7500 0.7500
Tl1 0.2500 0.2500 0.2500

***

(8)
The following is a DFT calculation (GGA-PBE) of Mg2BiSe after structural relaxation.

Summary:
The calculation puts the formation energy from raw total energies at -495.2 meV/atom. As for the crystal system: tetragonal. The value obtained for the raw total energy is -25.071 eV/cell.

a = 7.4269 Å, b = 7.4269 Å, c = 7.4269 Å
α = 126.69°, β = 126.69°, γ = 78.76°
Positions (direct):
Mg1 0.0804 0.6250 0.9554
Mg2 0.3750 0.3304 0.4554
Mg3 0.6696 0.1250 0.0446
Mg4 0.8750 0.9196 0.5446
Bi1 0.2500 0.7500 0.5000
Bi2 0.5000 0.5000 0.0000
Se1 0.0000 0.0000 0.0000
Se2 0.7500 0.2500 0.5000

***

(9)
The following is a DFT calculation (GGA-PBE) of KReBr2 after structural relaxation.

Summary:
The calculation puts the formation energy from raw total energies at 374.5 meV/atom. As for the crystal system: trigonal. The value obtained for the raw total energy is -15.393 eV/cell.

a = 9.8880 Å, b = 9.8880 Å, c = 9.8880 Å
α = 19.48°, β = 19.48°, γ = 19.48°
Positions (direct):
K1 0.0000 0.0000 0.0000
Re1 0.5000 0.5000 0.5000
Br1 0.4163 0.4163 0.4163
Br2 0.5837 0.5837 0.5837

***

(10)
The following is a DFT calculation (GGA-PBE) of NaCuSnAs after structural relaxation.

Summary:
As for the crystal system: monoclinic. Its energy of formation from the pure elements is -0.1160 eV per atom. The value obtained for the raw total energy is -14.532 eV/cell.

a = 3.9618 Å, b = 3.9618 Å, c = 6.9667 Å
α = 90.10°, β = 90.10°, γ = 60.84°
Positions (direct):
Na1 0.0000 0.0000 0.0000
Cu1 0.6742 0.6742 0.3885
Sn1 0.3376 0.3376 0.6429
As1 0.3374 0.3374 0.2691

***

(11)
The following is a DFT calculation (GGA-PBE) of InMo after structural relaxation.

Summary:
As for the crystal system: tetragonal. Its energy of formation from the pure elements is 0.9441 eV per atom. The value obtained for the raw total energy is -46.725 eV/cell.

a = 5.5620 Å, b = 5.5620 Å, c = 5.5508 Å
α = 90.00°, β = 90.00°, γ = 90.00°
Positions (direct):
In1 0.1802 0.1802 0.0000
In2 0.3198 0.6802 0.5000
In3 0.6802 0.3198 0.5000
In4 0.8198 0.8198 0.0000
Mo1 0.1533 0.1533 0.5000
Mo2 0.3467 0.6533 0.0000
Mo3 0.6533 0.3467 0.0000
Mo4 0.8467 0.8467 0.5000

***

(12)
The following is a DFT calculation (GGA-PBE) of PuUNiOs after structural relaxation.

Summary:
As for the crystal system: cubic. Its energy of formation from the pure elements is -0.2303 eV per atom. The value obtained for the raw total energy is -43.552 eV/cell.

a = 4.5423 Å, b = 4.5423 Å, c = 4.5423 Å
α = 60.00°, β = 60.00°, γ = 60.00°
Positions (direct):
Pu1 0.0000 0.0000 0.0000
U1 0.7500 0.7500 0.7500
Ni1 0.2500 0.2500 0.2500
Os1 0.5000 0.5000 0.5000

***

Total moment / μB/atom: 0.00, 0.51, 0.00, 0.00, 0.00, 0.00, 0.52, 0.00, 0.00, 0.00, 0.00, 1.04